{
  "formula": "Al2OsCl",
  "functional": "PBE",
  "state": "optimized geometry",
  "lattice": [[-2.015, 2.015, 3.781], [2.015, -2.015, 3.781], [2.015, 2.015, -3.781]],
  "species": ["Al", "Al", "Os", "Cl"],
  "frac_coords": [[0.250, 0.750, 0.500], [0.750, 0.250, 0.500], [0.000, 0.000, 0.000], [0.500, 0.500, 0.000]],
  "n_ef_per_ev_cell": 1.6,
  "relative_energy_mev_per_atom": 851,
  "spacegroup": "No. 139",
  "energy_ev_per_atom": -4.77,
  "e_form_raw_kj_per_mol_atoms": 36.2
}